Here is an optimized crystal structure of La7Hg2Ru2 from the Alexandria database. Energies are from GGA-PBE.

CIF file:
```
data_La7Hg2Ru2
_chemical_formula_sum 'La14 Hg4 Ru4'
_cell_length_a 3.999
_cell_length_b 16.469
_cell_length_c 10.163
_cell_angle_alpha 90.00
_cell_angle_beta 90.00
_cell_angle_gamma 90.00
_space_group_name_H-M_alt 'I m m 2'
_space_group_IT_number 44
_space_group_name_Hall 'I 2 -2'
loop_
_atom_site_label
_atom_site_fract_x
_atom_site_fract_y
_atom_site_fract_z
La1 0.000 0.000 0.000
La2 0.000 0.134 0.579
La3 0.000 0.319 0.380
La4 0.000 0.348 0.731
Hg1 0.000 0.000 0.327
Hg2 0.000 0.500 0.233
Ru1 0.000 0.240 0.056
```

ΔH_f (0 K), meV/atom: -315
Total energy, eV per cell: -114.2
Crystal system: orthorhombic
Offset from the most stable computed form, meV per atom: 0.0
Density of states at the Fermi level, states/eV/cell: 25.23